Record 1
## TbHo2Er9 (PBE)

Data for a geometry-optimized TbHo2Er9 structure.

Values from the calculation:
The crystal system is tetragonal. As for the formation energy: 23.3 meV per atom. The energy above the lowest structure with this stoichiometry is 0.000 eV/f.u. The total magnetic moment comes out at 0.00 μB/f.u. As for the space group: P4/mmm, No. 123. The calculation puts the calculated volume at 366 Å³ per cell.

POSCAR file:
```
TbHo2Er9
1.0
4.959 0.000 0.000
0.000 4.959 0.000
0.000 0.000 14.876
Tb Ho Er
1 2 9
Direct
0.000 0.000 0.000
0.000 0.000 0.334
0.000 0.000 0.666
0.000 0.500 0.167
0.000 0.500 0.500
0.000 0.500 0.833
0.500 0.000 0.167
0.500 0.000 0.500
0.500 0.000 0.833
0.500 0.500 0.000
0.500 0.500 0.334
0.500 0.500 0.666
```

Record 2
## Tb5Ho2Er6 (PBE)

Data for a geometry-optimized Tb5Ho2Er6 structure.

Values from the calculation:
The crystal system is orthorhombic. As for the formation energy: 97.9 meV per atom. The total magnetic moment comes out at 0.00 μB/f.u. As for the space group: Pbam, No. 55. The calculation puts the calculated volume at 819 Å³ per cell.

POSCAR file:
```
Tb5Ho2Er6
1.0
11.514 0.000 0.000
0.000 20.097 0.000
0.000 0.000 3.539
Tb Ho Er
10 4 12
Direct
0.000 0.000 0.000
0.087 0.273 0.000
0.199 0.550 0.000
0.301 0.050 0.000
0.413 0.773 0.000
0.500 0.500 0.000
0.587 0.227 0.000
0.699 0.950 0.000
0.801 0.450 0.000
0.913 0.727 0.000
0.169 0.710 0.500
0.331 0.210 0.500
0.669 0.790 0.500
0.831 0.290 0.500
0.059 0.419 0.500
0.082 0.131 0.500
0.174 0.863 0.000
0.326 0.363 0.000
0.418 0.631 0.500
0.441 0.919 0.500
0.559 0.081 0.500
0.582 0.369 0.500
0.674 0.637 0.000
0.826 0.137 0.000
0.918 0.869 0.500
0.941 0.581 0.500
```

Record 3
## Tb2Ho2Er (PBE)

Data for a geometry-optimized Tb2Ho2Er structure.

Values from the calculation:
The crystal system is orthorhombic. As for the formation energy: 140.2 meV per atom. The energy above the lowest structure with this stoichiometry is 0.216 eV/f.u. The total magnetic moment comes out at 0.00 μB/f.u. As for the space group: Imma, No. 74. The calculation puts the calculated volume at 315 Å³ per cell.

POSCAR file:
```
Tb2Ho2Er
1.0
-1.788 2.812 15.680
1.788 -2.812 15.680
1.788 2.812 -15.680
Tb Ho Er
4 4 2
Direct
0.272 0.022 0.250
0.371 0.121 0.250
0.629 0.879 0.750
0.728 0.978 0.750
0.056 0.806 0.250
0.458 0.708 0.750
0.542 0.292 0.250
0.944 0.194 0.750
0.171 0.421 0.750
0.829 0.579 0.250
```

Record 4
## Tb16Ho7Er6 (PBE)

Data for a geometry-optimized Tb16Ho7Er6 structure.

Values from the calculation:
The crystal system is cubic. As for the formation energy: 236.8 meV per atom. The total magnetic moment comes out at 0.00 μB/f.u. As for the space group: Fm-3m, No. 225. The calculation puts the calculated volume at 955 Å³ per cell.

POSCAR file:
```
Tb16Ho7Er6
1.0
0.000 7.817 7.817
7.817 0.000 7.817
7.817 7.817 0.000
Tb Ho Er
16 7 6
Direct
0.048 0.651 0.651
0.123 0.123 0.123
0.123 0.123 0.630
0.123 0.630 0.123
0.349 0.349 0.349
0.349 0.349 0.952
0.349 0.952 0.349
0.370 0.877 0.877
0.630 0.123 0.123
0.651 0.048 0.651
0.651 0.651 0.048
0.651 0.651 0.651
0.877 0.370 0.877
0.877 0.877 0.370
0.877 0.877 0.877
0.952 0.349 0.349
0.000 0.000 0.000
0.000 0.000 0.500
0.000 0.500 0.000
0.000 0.500 0.500
0.500 0.000 0.000
0.500 0.000 0.500
0.500 0.500 0.000
0.273 0.273 0.727
0.273 0.727 0.273
0.273 0.727 0.727
0.727 0.273 0.273
0.727 0.273 0.727
0.727 0.727 0.273
```

Record 5
## Tb2Ho3Er3 (PBE)

Data for a geometry-optimized Tb2Ho3Er3 structure.

Values from the calculation:
The crystal system is orthorhombic. As for the formation energy: 21.0 meV per atom. The energy above the lowest structure with this stoichiometry is 0.143 eV/f.u. The total magnetic moment comes out at 0.00 μB/f.u. As for the space group: Immm, No. 71. The calculation puts the calculated volume at 246 Å³ per cell.

POSCAR file:
```
Tb2Ho3Er3
1.0
-2.488 2.488 9.951
2.488 -2.488 9.951
2.488 2.488 -9.951
Tb Ho Er
2 3 3
Direct
0.250 0.250 0.000
0.750 0.750 0.000
0.000 0.000 0.000
0.376 0.876 0.500
0.624 0.124 0.500
0.124 0.624 0.500
0.500 0.500 0.000
0.876 0.376 0.500
```

Record 6
## TbHo5Er12 (PBE)

Data for a geometry-optimized TbHo5Er12 structure.

Values from the calculation:
The crystal system is orthorhombic. As for the formation energy: 22.8 meV per atom. The total magnetic moment comes out at 0.00 μB/f.u. As for the space group: Cmmm, No. 65. The calculation puts the calculated volume at 548 Å³ per cell.

POSCAR file:
```
TbHo5Er12
1.0
7.430 -7.447 0.000
7.430 7.447 0.000
0.000 0.000 4.953
Tb Ho Er
1 5 12
Direct
0.000 0.000 0.000
0.167 0.833 0.500
0.334 0.666 0.000
0.500 0.500 0.500
0.666 0.334 0.000
0.833 0.167 0.500
0.000 0.334 0.000
0.000 0.666 0.000
0.167 0.167 0.500
0.167 0.500 0.500
0.333 0.333 0.000
0.334 0.000 0.000
0.500 0.167 0.500
0.500 0.833 0.500
0.666 0.000 0.000
0.667 0.667 0.000
0.833 0.500 0.500
0.833 0.833 0.500
```